[1]
A relaxed Pr4GaPd3 crystal, computed with PBE-GGA. Values from VASP.

## Properties
Formation energy: -718 meV/atom
Spin magnetization: 0.00 μB per cell
SG: Pmm2 (25)

```
&SYSTEM
  ibrav = 0, nat = 8, ntyp = 3
/
ATOMIC_SPECIES
Pr 140.91 Pr.upf
Ga 69.72 Ga.upf
Pd 106.42 Pd.upf
ATOMIC_POSITIONS crystal
Pr 0.500 0.500 0.366
Pr 0.000 0.500 0.857
Pr 0.000 0.000 0.141
Pr 0.500 0.000 0.635
Ga 0.500 0.500 0.075
Pd 0.000 0.500 0.585
Pd 0.000 0.000 0.419
Pd 0.500 0.000 0.922
CELL_PARAMETERS angstrom
3.978 0.000 0.000
0.000 4.568 0.000
0.000 0.000 11.269
```



[2]
A relaxed Tb4Pm3Al crystal, computed with PBE-GGA. Values from VASP.

## Properties
Formation energy: -83 meV/atom
Spin magnetization: 0.00 μB per cell
SG: P4/mmm (123)

```
&SYSTEM
  ibrav = 0, nat = 8, ntyp = 3
/
ATOMIC_SPECIES
Tb 158.93 Tb.upf
Al 26.98 Al.upf
Pm 145.00 Pm.upf
ATOMIC_POSITIONS crystal
Tb 0.000 0.000 0.902
Tb 0.000 0.000 0.098
Tb 0.000 0.000 0.366
Tb 0.000 0.000 0.634
Al 0.500 0.500 0.000
Pm 0.500 0.500 0.233
Pm 0.500 0.500 0.500
Pm 0.500 0.500 0.767
CELL_PARAMETERS angstrom
3.583 0.000 0.000
0.000 3.583 0.000
0.000 0.000 19.279
```



[3]
A relaxed ZrSi2Pt crystal, computed with PBE-GGA. Values from VASP.

## Properties
E_form (uncorrected): -0.608 eV per atom
Spin magnetization: 0.00 μB per cell
SG: Pmm2 (25)

```
&SYSTEM
  ibrav = 0, nat = 4, ntyp = 3
/
ATOMIC_SPECIES
Pt 195.08 Pt.upf
Si 28.09 Si.upf
Zr 91.22 Zr.upf
ATOMIC_POSITIONS crystal
Pt 0.500 0.000 0.759
Si 0.000 0.000 0.998
Si 0.500 0.000 0.256
Zr 0.000 0.500 0.486
CELL_PARAMETERS angstrom
4.395 0.000 0.000
0.000 2.957 -0.007
0.000 0.012 5.033
```



> Which value of spin magnetization does entry 3 give?

0.00 μB per cell



> Which value of spin magnetization does entry 3 give?

0.00 μB per cell